(1)
ErHfSbO6 | PBE-GGA | relaxed

Properties
Calculated volume = 240.1 Å³ per cell
Formation energy from raw total energies = -2.7366 eV/atom
Symmetry = P-31c
Calculated density = 7.79 g cm⁻³
Magnetization = 0.00 μB per formula unit

a = 5.3642 Å, b = 5.3642 Å, c = 9.6344 Å
α = 90.00°, β = 90.00°, γ = 120.00°
Positions (direct):
Er 0.0000 0.0000 0.0000
Er 0.0000 0.0000 0.5000
Hf 0.3333 0.6667 0.2500
Hf 0.6667 0.3333 0.7500
Sb 0.6667 0.3333 0.2500
Sb 0.3333 0.6667 0.7500
O 0.6525 0.6411 0.1359
O 0.9886 0.3475 0.1359
O 0.3475 0.9886 0.6359
O 0.0114 0.6525 0.8641
O 0.3589 0.3475 0.3641
O 0.9886 0.6411 0.3641
O 0.6411 0.9886 0.8641
O 0.6525 0.0114 0.3641
O 0.0114 0.3589 0.6359
O 0.3589 0.0114 0.1359
O 0.6411 0.6525 0.6359
O 0.3475 0.3589 0.8641

(2)
ErHfSi2O8 | PBE-GGA | relaxed

Properties
Calculated volume = 140.1 Å³ per cell
Formation energy from raw total energies = -2.9855 eV/atom
Symmetry = I-4m2
Calculated density = 6.28 g cm⁻³
Magnetization = 0.54 μB per formula unit

a = 5.6819 Å, b = 5.6819 Å, c = 5.6819 Å
α = 106.64°, β = 106.64°, γ = 115.31°
Site moments in Bohr magnetons follow the coordinates.
Positions (direct):
Er 0.0000 0.0000 0.0000  0.00
Hf 0.2500 0.7500 0.5000  -0.01
Si 0.7500 0.2500 0.5000  -0.01
Si 0.5000 0.5000 0.0000  0.00
O 0.3909 0.0685 0.3224  0.07
O 0.3317 0.5217 0.1900  0.05
O 0.3317 0.1417 0.8100  0.05
O 0.7461 0.0685 0.6776  0.07
O 0.8583 0.6683 0.1900  0.05
O 0.9315 0.2539 0.3224  0.07
O 0.9315 0.6091 0.6776  0.07
O 0.4783 0.6683 0.8100  0.05

(3)
ErHfTi2O8 | PBE-GGA | relaxed

Properties
Calculated volume = 157.7 Å³ per cell
Formation energy from raw total energies = -3.0205 eV/atom
Symmetry = I-4m2
Calculated density = 6.00 g cm⁻³
Magnetization = 0.98 μB per formula unit

a = 5.9035 Å, b = 5.9035 Å, c = 5.9035 Å
α = 107.38°, β = 107.38°, γ = 113.73°
Site moments in Bohr magnetons follow the coordinates.
Positions (direct):
Er 0.0000 0.0000 0.0000  -0.01
Hf 0.2500 0.7500 0.5000  -0.02
Ti 0.7500 0.2500 0.5000  -0.04
Ti 0.5000 0.5000 0.0000  -0.03
O 0.3674 0.0525 0.3149  0.13
O 0.3221 0.5242 0.2021  0.09
O 0.3221 0.1200 0.7979  0.09
O 0.7376 0.0525 0.6851  0.13
O 0.8800 0.6779 0.2021  0.09
O 0.9475 0.2624 0.3149  0.13
O 0.9475 0.6326 0.6851  0.13
O 0.4758 0.6779 0.7979  0.09

(4)
ErHf4Os5 | PBE-GGA | relaxed

Properties
Calculated volume = 176.2 Å³ per cell
Symmetry = P4/mmm
Energy relative to the elements = -6.2 eV/f.u.
Calculated density = 17.27 g cm⁻³
Magnetization = 0.00 μB per formula unit

a = 3.2676 Å, b = 3.2676 Å, c = 16.5011 Å
α = 90.00°, β = 90.00°, γ = 90.00°
Positions (direct):
Er 0.0000 0.0000 0.0000
Hf 0.0000 0.0000 0.2025
Hf 0.0000 0.0000 0.4010
Hf 0.0000 0.0000 0.5990
Hf 0.0000 0.0000 0.7975
Os 0.5000 0.5000 0.1110
Os 0.5000 0.5000 0.3049
Os 0.5000 0.5000 0.5000
Os 0.5000 0.5000 0.6951
Os 0.5000 0.5000 0.8890

(5)
ErHf2Os | PBE-GGA | relaxed

Properties
Calculated volume = 86.3 Å³ per cell
Symmetry = P4/mmm
Energy relative to the elements = -0.7 eV/f.u.
Calculated density = 13.74 g cm⁻³
Magnetization = 0.93 μB per formula unit

a = 3.2642 Å, b = 3.2642 Å, c = 8.1031 Å
α = 90.00°, β = 90.00°, γ = 90.00°
Site moments in Bohr magnetons follow the coordinates.
Positions (direct):
Hf 0.0000 0.0000 0.8028  0.20
Hf 0.0000 0.0000 0.1972  0.20
Os 0.5000 0.5000 0.0000  0.02
Er 0.5000 0.5000 0.5000  0.28

(6)
ErHfOs | PBE-GGA | relaxed

Properties
Calculated volume = 133.9 Å³ per cell
Symmetry = I4/mmm
Energy relative to the elements = -0.9 eV/f.u.
Calculated density = 13.30 g cm⁻³
Distance to the lowest polymorph of the same formula = 0.000 eV per atom
Magnetization = 0.00 μB per formula unit

a = 3.2894 Å, b = 3.2894 Å, c = 12.5883 Å
α = 97.51°, β = 97.51°, γ = 90.00°
Positions (direct):
Hf 0.2930 0.2930 0.5859
Hf 0.7070 0.7070 0.4141
Os 0.1454 0.1454 0.2908
Os 0.8546 0.8546 0.7092
Er 0.5748 0.5748 0.1496
Er 0.4252 0.4252 0.8504

(7)
ErHfOs | PBE-GGA | relaxed

Properties
Calculated volume = 69.7 Å³ per cell
Symmetry = F-43m
Energy relative to the elements = -0.6 eV/f.u.
Calculated density = 12.76 g cm⁻³
Distance to the lowest polymorph of the same formula = 0.085 eV per atom
Magnetization = 0.00 μB per formula unit

a = 4.6202 Å, b = 4.6202 Å, c = 4.6202 Å
α = 60.00°, β = 60.00°, γ = 60.00°
Positions (direct):
Hf 0.0000 0.0000 0.0000
Os 0.2500 0.2500 0.2500
Er 0.5000 0.5000 0.5000

(8)
ErHfOsPt | PBE-GGA | relaxed

Properties
Calculated volume = 75.2 Å³ per cell
Symmetry = F-43m
Energy relative to the elements = -2.9 eV/f.u.
Calculated density = 16.14 g cm⁻³
Magnetization = 0.00 μB per formula unit

a = 4.7377 Å, b = 4.7377 Å, c = 4.7377 Å
α = 60.00°, β = 60.00°, γ = 60.00°
Positions (direct):
Hf 0.5000 0.5000 0.5000
Os 0.2500 0.2500 0.2500
Pt 0.7500 0.7500 0.7500
Er 0.0000 0.0000 0.0000